A | # Y2Ni2Pd (PBE, relaxed)
data_Y2Ni2Pd
_chemical_formula_sum 'Y4 Ni4 Pd2'
_space_group_name_H-M_alt 'I 4/m m m'
_space_group_IT_number 139
_space_group_name_Hall '-I 4 2'
_cell_length_a 3.495
_cell_length_b 3.495
_cell_length_c 15.923
_cell_angle_alpha 90.00
_cell_angle_beta 90.00
_cell_angle_gamma 90.00
loop_
_atom_site_label
_atom_site_type_symbol
_atom_site_fract_x
_atom_site_fract_y
_atom_site_fract_z
Y1 Y 0.000 0.000 0.112
Ni1 Ni 0.000 0.500 0.250
Pd1 Pd 0.000 0.000 0.500
# Spin magnetization ... 0.00 μB/cell

---

B | # Y2Ni2Pd (PBE, relaxed)
data_Y2Ni2Pd
_chemical_formula_sum 'Y4 Ni4 Pd2'
_space_group_name_H-M_alt 'I m m m'
_space_group_IT_number 71
_space_group_name_Hall '-I 2 2'
_cell_length_a 4.126
_cell_length_b 5.741
_cell_length_c 7.940
_cell_angle_alpha 90.00
_cell_angle_beta 90.00
_cell_angle_gamma 90.00
loop_
_atom_site_label
_atom_site_type_symbol
_atom_site_fract_x
_atom_site_fract_y
_atom_site_fract_z
Y1 Y 0.000 0.000 0.214
Ni1 Ni 0.000 0.295 0.500
Pd1 Pd 0.000 0.500 0.000
# Spin magnetization ... 0.00 μB/cell

---

Most favorable first, least favorable last: B, A

---

A | # ZnNi2Pd6 (PBE, relaxed)
data_ZnNi2Pd6
_chemical_formula_sum 'Zn2 Ni4 Pd12'
_space_group_name_H-M_alt 'C 1 2/m 1'
_space_group_IT_number 12
_space_group_name_Hall '-C 2y'
_cell_length_a 7.325
_cell_length_b 4.538
_cell_length_c 7.966
_cell_angle_alpha 90.00
_cell_angle_beta 97.91
_cell_angle_gamma 90.00
loop_
_atom_site_label
_atom_site_type_symbol
_atom_site_fract_x
_atom_site_fract_y
_atom_site_fract_z
Zn1 Zn 0.000 0.000 0.000
Ni1 Ni 0.181 0.500 0.439
Pd1 Pd 0.016 0.000 0.336
Pd2 Pd 0.152 0.500 0.758
Pd3 Pd 0.174 0.500 0.106
# Spin magnetization ... 5.44 μB/cell

---

B | # ZnNi2Pd6 (PBE, relaxed)
data_ZnNi2Pd6
_chemical_formula_sum 'Zn4 Ni8 Pd24'
_space_group_name_H-M_alt 'F m m m'
_space_group_IT_number 69
_space_group_name_Hall '-F 2 2'
_cell_length_a 3.942
_cell_length_b 11.006
_cell_length_c 11.868
_cell_angle_alpha 90.00
_cell_angle_beta 90.00
_cell_angle_gamma 90.00
loop_
_atom_site_label
_atom_site_type_symbol
_atom_site_fract_x
_atom_site_fract_y
_atom_site_fract_z
Zn1 Zn 0.000 0.000 0.000
Ni1 Ni 0.000 0.000 0.329
Pd1 Pd 0.000 0.157 0.500
Pd2 Pd 0.000 0.158 0.167
# Spin magnetization ... 10.52 μB/cell

---

Most favorable first, least favorable last: B, A

---

A | # Zn6Ni2Pd (PBE, relaxed)
data_Zn6Ni2Pd
_chemical_formula_sum 'Zn12 Ni4 Pd2'
_space_group_name_H-M_alt 'C 1 2/m 1'
_space_group_IT_number 12
_space_group_name_Hall '-C 2y'
_cell_length_a 12.209
_cell_length_b 6.030
_cell_length_c 4.150
_cell_angle_alpha 90.00
_cell_angle_beta 108.46
_cell_angle_gamma 90.00
loop_
_atom_site_label
_atom_site_type_symbol
_atom_site_fract_x
_atom_site_fract_y
_atom_site_fract_z
Zn1 Zn 0.000 0.241 0.000
Zn2 Zn 0.172 0.225 0.673
Ni1 Ni 0.171 0.000 0.172
Pd1 Pd 0.000 0.500 0.500
# Spin magnetization ... 0.00 μB/cell

---

B | # Zn6Ni2Pd (PBE, relaxed)
data_Zn6Ni2Pd
_chemical_formula_sum 'Zn12 Ni4 Pd2'
_space_group_name_H-M_alt 'P 42/m n m'
_space_group_IT_number 136
_space_group_name_Hall '-P 4n 2n'
_cell_length_a 7.998
_cell_length_b 7.998
_cell_length_c 3.812
_cell_angle_alpha 90.00
_cell_angle_beta 90.00
_cell_angle_gamma 90.00
loop_
_atom_site_label
_atom_site_type_symbol
_atom_site_fract_x
_atom_site_fract_y
_atom_site_fract_z
Zn1 Zn 0.014 0.327 0.000
Zn2 Zn 0.155 0.845 0.500
Ni1 Ni 0.186 0.186 0.500
Pd1 Pd 0.000 0.000 0.000
# Spin magnetization ... 0.00 μB/cell

---

Most favorable first, least favorable last: B, A

---

A | # ZnNi3Pd (PBE, relaxed)
data_ZnNi3Pd
_chemical_formula_sum 'Zn1 Ni3 Pd1'
_space_group_name_H-M_alt 'P m -3 m'
_space_group_IT_number 221
_space_group_name_Hall '-P 4 2 3'
_cell_length_a 4.559
_cell_length_b 4.559
_cell_length_c 4.559
_cell_angle_alpha 90.00
_cell_angle_beta 90.00
_cell_angle_gamma 90.00
loop_
_atom_site_label
_atom_site_type_symbol
_atom_site_fract_x
_atom_site_fract_y
_atom_site_fract_z
Zn1 Zn 0.000 0.000 0.000
Ni1 Ni 0.000 0.500 0.500
Pd1 Pd 0.500 0.500 0.500
# Spin magnetization ... 2.32 μB/cell

---

B | # ZnNi3Pd (PBE, relaxed)
data_ZnNi3Pd
_chemical_formula_sum 'Zn1 Ni3 Pd1'
_space_group_name_H-M_alt 'P m -3 m'
_space_group_IT_number 221
_space_group_name_Hall '-P 4 2 3'
_cell_length_a 4.286
_cell_length_b 4.286
_cell_length_c 4.286
_cell_angle_alpha 90.00
_cell_angle_beta 90.00
_cell_angle_gamma 90.00
loop_
_atom_site_label
_atom_site_type_symbol
_atom_site_fract_x
_atom_site_fract_y
_atom_site_fract_z
Zn1 Zn 0.000 0.000 0.000
Ni1 Ni 0.000 0.000 0.500
Pd1 Pd 0.500 0.500 0.500
# Spin magnetization ... 0.84 μB/cell

---

Most favorable first, least favorable last: B, A

---

A | # Zn4NiPd2 (PBE, relaxed)
data_Zn4NiPd2
_chemical_formula_sum 'Zn8 Ni2 Pd4'
_space_group_name_H-M_alt 'I 4/m m m'
_space_group_IT_number 139
_space_group_name_Hall '-I 4 2'
_cell_length_a 4.162
_cell_length_b 4.162
_cell_length_c 12.063
_cell_angle_alpha 90.00
_cell_angle_beta 90.00
_cell_angle_gamma 90.00
loop_
_atom_site_label
_atom_site_type_symbol
_atom_site_fract_x
_atom_site_fract_y
_atom_site_fract_z
Zn1 Zn 0.000 0.500 0.111
Ni1 Ni 0.000 0.000 0.000
Pd1 Pd 0.000 0.000 0.242
# Spin magnetization ... 0.00 μB/cell

---

B | # Zn4NiPd2 (PBE, relaxed)
data_Zn4NiPd2
_chemical_formula_sum 'Zn8 Ni2 Pd4'
_space_group_name_H-M_alt 'I 4/m m m'
_space_group_IT_number 139
_space_group_name_Hall '-I 4 2'
_cell_length_a 4.491
_cell_length_b 4.491
_cell_length_c 12.502
_cell_angle_alpha 90.00
_cell_angle_beta 90.00
_cell_angle_gamma 90.00
loop_
_atom_site_label
_atom_site_type_symbol
_atom_site_fract_x
_atom_site_fract_y
_atom_site_fract_z
Zn1 Zn 0.000 0.000 0.188
Zn2 Zn 0.000 0.500 0.000
Ni1 Ni 0.000 0.000 0.000
Pd1 Pd 0.000 0.000 0.387
# Spin magnetization ... 0.00 μB/cell

---

Most favorable first, least favorable last: A, B

---

A | # ZnNi2Pd4 (PBE, relaxed)
data_ZnNi2Pd4
_chemical_formula_sum 'Zn4 Ni8 Pd16'
_space_group_name_H-M_alt 'I -4 2 d'
_space_group_IT_number 122
_space_group_name_Hall 'I -4 2bw'
_cell_length_a 7.451
_cell_length_b 7.451
_cell_length_c 7.492
_cell_angle_alpha 90.00
_cell_angle_beta 90.00
_cell_angle_gamma 90.00
loop_
_atom_site_label
_atom_site_type_symbol
_atom_site_fract_x
_atom_site_fract_y
_atom_site_fract_z
Zn1 Zn 0.000 0.000 0.000
Ni1 Ni 0.129 0.250 0.625
Pd1 Pd 0.082 0.168 0.298
# Spin magnetization ... 8.48 μB/cell

---

B | # ZnNi2Pd4 (PBE, relaxed)
data_ZnNi2Pd4
_chemical_formula_sum 'Zn2 Ni4 Pd8'
_space_group_name_H-M_alt 'C 1 2/m 1'
_space_group_IT_number 12
_space_group_name_Hall '-C 2y'
_cell_length_a 8.696
_cell_length_b 3.727
_cell_length_c 6.118
_cell_angle_alpha 90.00
_cell_angle_beta 97.68
_cell_angle_gamma 90.00
loop_
_atom_site_label
_atom_site_type_symbol
_atom_site_fract_x
_atom_site_fract_y
_atom_site_fract_z
Zn1 Zn 0.000 0.000 0.000
Ni1 Ni 0.146 0.000 0.434
Pd1 Pd 0.073 0.500 0.706
Pd2 Pd 0.208 0.500 0.152
# Spin magnetization ... 4.07 μB/cell

---

Most favorable first, least favorable last: B, A